Entry 1:
Density functional theory data (PBE) for Mn2Pd2Pt after structural relaxation.

Unit cell a=2.9160 b=7.3366 c=7.3366 alpha=90.00 beta=90.00 gamma=90.00
Closest atoms and distances in Å follow each position.
Element x y z (fractional)
Mn1 0.5000 0.1685 0.6685  6 Pd 2.54-2.65
Mn2 0.5000 0.6685 0.8315  6 Pd 2.54-2.65
Mn3 0.5000 0.8315 0.3315  6 Pd 2.54-2.65
Mn4 0.5000 0.3315 0.1685  6 Pd 2.54-2.65
Pd1 0.0000 0.6311 0.1311  6 Mn 2.54-2.65, 1 Pd 2.72
Pd2 0.0000 0.1311 0.3689  6 Mn 2.54-2.65, 1 Pd 2.72
Pd3 0.0000 0.3689 0.8689  6 Mn 2.54-2.65, 1 Pd 2.72
Pd4 0.0000 0.8689 0.6311  6 Mn 2.54-2.65, 1 Pd 2.72
Pt1 0.0000 0.0000 0.0000  4 Pd 2.87, 2 Pt 2.92, 8 Mn 3.09
Pt2 0.0000 0.5000 0.5000  4 Pd 2.87, 2 Pt 2.92, 8 Mn 3.09

Properties
For the formation energy from the elements, the calculation gives -0.0636 eV/atom. The value obtained for the energy above the lowest structure with this stoichiometry is 19.51 kJ/mol of atoms. The space-group type is P4/mbm.

***

Entry 2:
Density functional theory data (PBE) for LaPr5Ag6 after structural relaxation.

Unit cell a=5.4004 b=7.4879 c=8.5622 alpha=90.01 beta=70.91 gamma=90.02
Closest atoms and distances in Å follow each position.
Element x y z (fractional)
Pr1 0.6658 0.5000 0.6681  8 Ag 3.27-3.28
Pr2 0.3329 0.0000 0.3345  8 Ag 3.27-3.30
Pr3 0.0000 0.5000 0.0000  8 Ag 3.28-3.29
Pr4 0.6671 0.0000 0.6655  8 Ag 3.27-3.30
Pr5 0.3342 0.5000 0.3319  8 Ag 3.27-3.28
Ag1 0.8324 0.7481 0.3354  7 Pr 3.27-3.29, 1 La 3.30
Ag2 0.8323 0.2519 0.3354  7 Pr 3.27-3.29, 1 La 3.30
Ag3 0.5000 0.2519 0.0000  6 Pr 3.27-3.30, 2 La 3.29
Ag4 0.5000 0.7481 0.0000  6 Pr 3.27-3.30, 2 La 3.29
Ag5 0.1677 0.7481 0.6646  7 Pr 3.27-3.29, 1 La 3.30
Ag6 0.1676 0.2519 0.6646  7 Pr 3.27-3.29, 1 La 3.30
La1 0.0000 0.0000 0.0000  8 Ag 3.29-3.30

Properties
For the formation energy from the elements, the calculation gives -0.2452 eV/atom. The space-group type is P2/m.

***

Entry 3:
Density functional theory data (PBE) for Tc4B2Mo after structural relaxation.

Unit cell a=4.8506 b=6.3169 c=6.1388 alpha=112.12 beta=90.00 gamma=90.00
Closest atoms and distances in Å follow each position.
Element x y z (fractional)
Mo1 0.2500 0.8505 0.9980  4 B 2.34-2.50, 1 Tc 2.61
Mo2 0.7500 0.1495 0.0020  4 B 2.34-2.50, 1 Tc 2.61
B1 0.2500 0.2364 0.9769  4 Tc 2.19-2.35
B2 0.7500 0.7636 0.0231  4 Tc 2.19-2.35
B3 0.7500 0.3700 0.4063  6 Tc 2.22-2.42, 1 Mo 2.34
B4 0.2500 0.6300 0.5937  6 Tc 2.22-2.42, 1 Mo 2.34
Tc1 0.5058 0.4068 0.7621  4 B 2.35-2.52, 2 Tc 2.37-2.48
Tc2 0.2500 0.2522 0.3394  2 B 2.19-2.31
Tc3 0.7500 0.7478 0.6606  2 B 2.19-2.31
Tc4 0.9942 0.4068 0.7621  4 B 2.35-2.52, 2 Tc 2.37-2.48
Tc5 0.7500 0.0119 0.3879  2 B 2.20-2.22
Tc6 0.0058 0.5932 0.2379  4 B 2.35-2.52, 2 Tc 2.37-2.48
Tc7 0.4942 0.5932 0.2379  4 B 2.35-2.52, 2 Tc 2.37-2.48
Tc8 0.2500 0.9881 0.6121  2 B 2.20-2.22

Properties
For the formation energy from the elements, the calculation gives -0.0933 eV/atom. The value obtained for the energy above the lowest structure with this stoichiometry is 0.00 kJ/mol of atoms. The space-group type is P2_1/m.

***

Entry 4:
Density functional theory data (PBE) for Li3Sm2HoTe6 after structural relaxation.

Unit cell a=7.5998 b=7.5998 c=7.5130 alpha=99.72 beta=99.72 gamma=120.00
Closest atoms and distances in Å follow each position.
Element x y z (fractional)
Li1 0.1679 0.8321 0.5000  6 Te 3.04-3.08
Li2 0.8321 0.1679 0.5000  6 Te 3.04-3.08
Li3 0.5000 0.5000 0.5000  6 Te 3.04-3.10
Sm1 0.3335 0.6665 0.0000  6 Te 3.14
Sm2 0.6665 0.3335 0.0000  6 Te 3.14
Ho1 0.0000 0.0000 0.0000  6 Te 3.08-3.09
Te1 0.9140 0.5863 0.7418  3 Li 3.04-3.08, 1 Ho 3.09, 2 Sm 3.14
Te2 0.7585 0.7585 0.2575  3 Li 3.05-3.10, 1 Ho 3.08, 2 Sm 3.14
Te3 0.0860 0.4137 0.2582  3 Li 3.04-3.08, 1 Ho 3.09, 2 Sm 3.14
Te4 0.5863 0.9140 0.7418  3 Li 3.04-3.08, 1 Ho 3.09, 2 Sm 3.14
Te5 0.2415 0.2415 0.7425  3 Li 3.05-3.10, 1 Ho 3.08, 2 Sm 3.14
Te6 0.4137 0.0860 0.2582  3 Li 3.04-3.08, 1 Ho 3.09, 2 Sm 3.14

Properties
The space-group type is C2/m.

***

Entry 5:
Density functional theory data (PBE) for MoPAu after structural relaxation.

Unit cell a=4.1228 b=4.1228 c=4.1228 alpha=60.00 beta=60.00 gamma=60.00
Closest atoms and distances in Å follow each position.
Element x y z (fractional)
Mo1 0.5000 0.5000 0.5000  4 P 2.52
P1 0.2500 0.2500 0.2500  4 Mo 2.52, 4 Au 2.52
Au1 0.0000 0.0000 0.0000  4 P 2.52

Properties
For the formation energy from the elements, the calculation gives 0.1018 eV/atom. The value obtained for the energy above the lowest structure with this stoichiometry is 7.05 kJ/mol of atoms. The space-group type is F-43m.

***

Entry 6:
Density functional theory data (PBE) for RbHf2CI after structural relaxation.

Unit cell a=4.5367 b=6.8912 c=4.5367 alpha=90.00 beta=90.00 gamma=90.00
Closest atoms and distances in Å follow each position.
Element x y z (fractional)
I1 0.5000 0.5000 0.5000  4 Rb 3.21
C1 0.0000 0.0000 0.0000  4 Hf 2.27
Hf1 0.0000 0.0000 0.5000  2 C 2.27
Hf2 0.5000 0.0000 0.0000  2 C 2.27
Rb1 0.0000 0.5000 0.0000  4 I 3.21, 2 C 3.45

Properties
The space-group type is P4/mmm.

***

Entry 7:
Density functional theory data (PBE) for Tb14PmY after structural relaxation.

Unit cell a=7.1643 b=7.1643 c=11.5361 alpha=90.00 beta=90.00 gamma=119.97
Closest atoms and distances in Å follow each position.
Element x y z (fractional)
Tb1 0.0416 0.9584 0.0000  12 Tb 3.54-3.58
Tb2 0.5417 0.4583 0.0000  12 Tb 3.54-3.58
Tb3 0.2084 0.2917 0.5000  8 Tb 3.55-3.58, 2 Pm 3.58, 2 Y 3.58
Tb4 0.0420 0.4582 0.0000  12 Tb 3.54-3.59
Tb5 0.7083 0.7916 0.5000  8 Tb 3.55-3.58, 2 Pm 3.58, 2 Y 3.58
Tb6 0.5418 0.9580 0.0000  12 Tb 3.54-3.59
Tb7 0.3749 0.1253 0.7513  10 Tb 3.54-3.59, 1 Pm 3.56, 1 Y 3.56
Tb8 0.3749 0.1253 0.2487  10 Tb 3.54-3.59, 1 Pm 3.56, 1 Y 3.56
Tb9 0.8747 0.6251 0.7513  10 Tb 3.54-3.59, 1 Pm 3.56, 1 Y 3.56
Tb10 0.8747 0.6251 0.2487  10 Tb 3.54-3.59, 1 Pm 3.56, 1 Y 3.56
Tb11 0.3752 0.6248 0.7501  11 Tb 3.55-3.59, 1 Y 3.55
Tb12 0.3752 0.6248 0.2499  11 Tb 3.55-3.59, 1 Y 3.55
Tb13 0.8751 0.1249 0.7509  11 Tb 3.54-3.59, 1 Pm 3.56
Tb14 0.8751 0.1249 0.2491  11 Tb 3.54-3.59, 1 Pm 3.56
Pm1 0.7082 0.2918 0.5000  10 Tb 3.56-3.58, 2 Y 3.58
Y1 0.2081 0.7919 0.5000  10 Tb 3.55-3.58, 2 Pm 3.58

Properties
For the formation energy from the elements, the calculation gives 0.0004 eV/atom. The space-group type is Amm2.

***

Entry 8:
Density functional theory data (PBE) for Gd2MnH after structural relaxation.

Unit cell a=3.5297 b=3.5297 c=7.8078 alpha=76.94 beta=76.94 gamma=60.00
Closest atoms and distances in Å follow each position.
Element x y z (fractional)
H1 0.5000 0.5000 0.5000  6 Gd 2.50
Gd1 0.2308 0.2308 0.3076  3 H 2.50
Gd2 0.7692 0.7692 0.6924  3 H 2.50
Mn1 0.0000 0.0000 0.0000  6 Gd 3.09

Properties
The space-group type is R-3m.

***

no.,raw total energy (eV/cell)
1,-70.17
2,-48.87
3,-132.61
4,-54.13
5,-19.21
6,-29.89
7,-76.03
8,-40.23